This record from the Alexandria database describes crystalline PrNd2Ru9 at its relaxed geometry. The functional is PBE.

* M_tot: 0.03 μB per cell
* energy of formation: -0.013 eV/atom

Structure (CIF):
```
data_PrNd2Ru9
_chemical_formula_sum 'Pr3 Nd6 Ru27'
_cell_length_a 5.3295
_cell_length_b 5.3295
_cell_length_c 26.5693
_cell_angle_alpha 90.00
_cell_angle_beta 90.00
_cell_angle_gamma 120.00
_symmetry_space_group_name_H-M 'R -3 m'
_symmetry_Int_Tables_number 166
_symmetry_space_group_name_Hall '-R 3 2"'
loop_
_atom_site_label
_atom_site_fract_x
_atom_site_fract_y
_atom_site_fract_z
Pr1 0.0000 0.0000 0.0000
Nd1 0.0000 0.0000 0.1401
Ru1 0.0000 0.0000 0.3372
Ru2 0.0000 0.0000 0.5000
Ru3 0.0073 0.5036 0.9186
```